Run a
Density functional theory data (GGA-PBE) for crystalline Tl2OsCl6 at its relaxed geometry.

abc: 7.2647 8.7443 12.4802
angles: 90.00 125.54 90.00
Space group P2_1/c (No. 14)
One atom of each set of equivalent atoms:
Tl (0.2405, 0.0005, 0.2408) x4
Os (0.5000, 0.0000, 0.0000) x2
Cl (0.2129, 0.6591, 0.3374) x4
Cl (0.2254, 0.1465, 0.9998) x4
Cl (0.4610, 0.1580, 0.8364) x4

Results
**D(E_F)**: 0.64 states/eV per atom



Run b
Density functional theory data (GGA-PBE) for crystalline Tl2OsCl6 at its relaxed geometry.

abc: 12.1111 7.0025 6.2507
angles: 90.00 90.98 90.00
Space group C2/m (No. 12)
One atom of each set of equivalent atoms:
Tl (0.1685, 0.0000, 0.1830) x4
Os (0.0000, 0.5000, 0.0000) x2
Cl (0.0782, 0.2617, 0.7863) x8
Cl (0.1605, 0.5000, 0.2160) x4

Results
**D(E_F)**: 0.61 states/eV per atom



run b (0.009 eV/atom below the next structure)